A plane-wave DFT calculation with GGA-PBEsol was carried out for a relaxed structure of Mg3W.

Output
For the volume, the calculation gives 72 Å³ per cell. As for the formation energy from the elements: 561 meV per atom. The total energy comes out at -4.1792 eV per atom. The value obtained for the density of states at the Fermi level is 1.6 states/eV per cell.

The structure in CIF format:
```
data_Mg3W
_chemical_formula_sum 'Mg3 W1'
_cell_length_a 4.1595
_cell_length_b 4.1595
_cell_length_c 4.1595
_cell_angle_alpha 90.00
_cell_angle_beta 90.00
_cell_angle_gamma 90.00
_space_group_name_H-M_alt 'P 1'
_space_group_IT_number 1
_space_group_name_Hall 'P 1'
loop_
_atom_site_label
_atom_site_type_symbol
_atom_site_fract_x
_atom_site_fract_y
_atom_site_fract_z
Mg1 Mg 0.0000 0.0000 0.5000
Mg2 Mg 0.0000 0.5000 0.0000
Mg3 Mg 0.5000 0.0000 0.0000
W1 W 0.5000 0.5000 0.5000
```



A plane-wave DFT calculation with GGA-PBEsol was carried out for a relaxed structure of ZnFeP2O7.

Output
For the volume, the calculation gives 244 Å³ per cell. The calculation puts the uncorrected formation energy at -1.850 eV per atom. The total energy comes out at -7.2022 eV per atom. The value obtained for the density of states at the Fermi level is 6.7 states/eV per cell.

The structure in CIF format:
```
data_ZnFeP2O7
_chemical_formula_sum 'Zn2 Fe2 P4 O14'
_cell_length_a 5.5997
_cell_length_b 6.2771
_cell_length_c 7.3284
_cell_angle_alpha 82.92
_cell_angle_beta 87.21
_cell_angle_gamma 72.30
_space_group_name_H-M_alt 'P 1'
_space_group_IT_number 1
_space_group_name_Hall 'P 1'
loop_
_atom_site_label
_atom_site_type_symbol
_atom_site_fract_x
_atom_site_fract_y
_atom_site_fract_z
Zn1 Zn 0.1767 0.3438 0.3421
Zn2 Zn 0.8233 0.6562 0.6579
Fe1 Fe 0.2398 0.8441 0.7983
Fe2 Fe 0.7602 0.1559 0.2017
P1 P 0.2783 0.8009 0.3907
P2 P 0.3072 0.3183 0.9060
P3 P 0.6928 0.6817 0.0940
P4 P 0.7217 0.1991 0.6093
O1 O 0.1171 0.6419 0.4296
O2 O 0.1205 0.0430 0.3301
O3 O 0.1399 0.5563 0.8363
O4 O 0.1905 0.1353 0.8824
O5 O 0.3990 0.3077 0.1018
O6 O 0.4427 0.7162 0.2163
O7 O 0.4488 0.7859 0.5534
O8 O 0.5512 0.2141 0.4466
O9 O 0.5573 0.2838 0.7837
O10 O 0.6010 0.6923 0.8982
O11 O 0.8095 0.8647 0.1176
O12 O 0.8601 0.4437 0.1637
O13 O 0.8795 0.9570 0.6699
O14 O 0.8829 0.3581 0.5704
```



A plane-wave DFT calculation with GGA-PBEsol was carried out for a relaxed structure of ReHgAs.

Output
For the volume, the calculation gives 56 Å³ per cell. As for the formation energy from the elements: 998 meV per atom. The total energy comes out at -5.3368 eV per atom. The value obtained for the density of states at the Fermi level is 1.4 states/eV per cell.

The structure in CIF format:
```
data_ReHgAs
_chemical_formula_sum 'Re1 Hg1 As1'
_cell_length_a 4.2853
_cell_length_b 4.2853
_cell_length_c 4.2853
_cell_angle_alpha 60.00
_cell_angle_beta 60.00
_cell_angle_gamma 60.00
_space_group_name_H-M_alt 'P 1'
_space_group_IT_number 1
_space_group_name_Hall 'P 1'
loop_
_atom_site_label
_atom_site_type_symbol
_atom_site_fract_x
_atom_site_fract_y
_atom_site_fract_z
Re1 Re 0.0000 0.0000 0.0000
Hg1 Hg 0.5000 0.5000 0.5000
As1 As 0.2500 0.2500 0.2500
```



A plane-wave DFT calculation with GGA-PBEsol was carried out for a relaxed structure of Mg2TlRu.

Output
For the volume, the calculation gives 70 Å³ per cell. As for the formation energy from the elements: 71 meV per atom. The total energy comes out at -3.9878 eV per atom. The value obtained for the density of states at the Fermi level is 2.7 states/eV per cell.

The structure in CIF format:
```
data_Mg2TlRu
_chemical_formula_sum 'Mg2 Tl1 Ru1'
_cell_length_a 5.1887
_cell_length_b 5.1887
_cell_length_c 5.1887
_cell_angle_alpha 134.47
_cell_angle_beta 134.47
_cell_angle_gamma 66.35
_space_group_name_H-M_alt 'P 1'
_space_group_IT_number 1
_space_group_name_Hall 'P 1'
loop_
_atom_site_label
_atom_site_type_symbol
_atom_site_fract_x
_atom_site_fract_y
_atom_site_fract_z
Mg1 Mg 0.0000 0.0000 0.0000
Mg2 Mg 0.7500 0.2500 0.5000
Tl1 Tl 0.2500 0.7500 0.5000
Ru1 Ru 0.5000 0.5000 0.0000
```



A plane-wave DFT calculation with GGA-PBEsol was carried out for a relaxed structure of Cr3PdCl.

Output
For the volume, the calculation gives 115 Å³ per cell. The calculation puts the uncorrected formation energy at 1.313 eV per atom. The total energy comes out at -6.4250 eV per atom. The value obtained for the density of states at the Fermi level is 8.8 states/eV per cell.

The structure in CIF format:
```
data_Cr3PdCl
_chemical_formula_sum 'Cr3 Pd1 Cl1'
_cell_length_a 4.8671
_cell_length_b 4.8671
_cell_length_c 4.8671
_cell_angle_alpha 90.00
_cell_angle_beta 90.00
_cell_angle_gamma 90.00
_space_group_name_H-M_alt 'P 1'
_space_group_IT_number 1
_space_group_name_Hall 'P 1'
loop_
_atom_site_label
_atom_site_type_symbol
_atom_site_fract_x
_atom_site_fract_y
_atom_site_fract_z
Cr1 Cr 0.0000 0.0000 0.5000
Cr2 Cr 0.0000 0.5000 0.0000
Cr3 Cr 0.5000 0.0000 0.0000
Pd1 Pd 0.0000 0.0000 0.0000
Cl1 Cl 0.5000 0.5000 0.5000
```



A plane-wave DFT calculation with GGA-PBEsol was carried out for a relaxed structure of InTe2P.

Output
For the volume, the calculation gives 104 Å³ per cell. The calculation puts the uncorrected formation energy at 0.027 eV per atom. The total energy comes out at -3.9300 eV per atom. The value obtained for the density of states at the Fermi level is 0.7 states/eV per cell.

The structure in CIF format:
```
data_InTe2P
_chemical_formula_sum 'In1 Te2 P1'
_cell_length_a 7.4611
_cell_length_b 7.4611
_cell_length_c 7.4611
_cell_angle_alpha 32.13
_cell_angle_beta 32.13
_cell_angle_gamma 32.13
_space_group_name_H-M_alt 'P 1'
_space_group_IT_number 1
_space_group_name_Hall 'P 1'
loop_
_atom_site_label
_atom_site_type_symbol
_atom_site_fract_x
_atom_site_fract_y
_atom_site_fract_z
In1 In 0.0000 0.0000 0.0000
Te1 Te 0.2390 0.2390 0.2390
Te2 Te 0.7610 0.7610 0.7610
P1 P 0.5000 0.5000 0.5000
```